Here is a relaxed structure of Ba3LiZn from the Alexandria database. Energies are from PBE.

calculated density = 3.55 g/cm3
formation energy from the elements = -0.020 eV per atom
spin magnetization = 0.00 Bohr magnetons per cell
volume = 45.3 A^3/atom
N(E_F) = 1.154 states/eV/atom

a = 4.4964 Å, b = 10.1284 Å, c = 9.9556 Å
α = 90.00°, β = 90.08°, γ = 90.00°
With the nearest neighbours (Å) after each atom.
Fractional positions:
Zn 0.2505 0.7500 0.5082  2 Li 2.80
Zn 0.7495 0.2500 0.4918  2 Li 2.80
Ba 0.7483 0.2500 0.9889  2 Li 3.97-3.99, 2 Ba 4.31
Ba 0.7510 0.9542 0.6776  3 Zn 3.49-3.52, 2 Li 3.75
Ba 0.2517 0.7500 0.0111  2 Li 3.97-3.99, 2 Ba 4.31
Ba 0.7510 0.5458 0.6776  3 Zn 3.49-3.52, 2 Li 3.75
Ba 0.2490 0.4542 0.3224  3 Zn 3.49-3.52, 2 Li 3.75
Ba 0.2490 0.0458 0.3224  3 Zn 3.49-3.52, 2 Li 3.75
Li 0.7500 0.7500 0.3409  2 Zn 2.80
Li 0.2500 0.2500 0.6591  2 Zn 2.80